No. 1
A relaxed PmRe crystal, computed with GGA-PBE.

abc: 4.5394 4.5394 4.5394
angles: 60.00 60.00 60.00
Fractional coordinates of all 2 atoms:
Pm 0.0000 0.0000 0.0000
Re 0.7500 0.7500 0.7500

Values from the calculation:
Energy relative to the elements = 4.63 eV/f.u.
VASP energy = -6.2670 eV/atom
Polymorph energy (0 for the lowest one) = 1333.2 meV per atom

***

No. 2
A relaxed PmRe crystal, computed with GGA-PBE.

abc: 3.1098 3.1098 4.9974
angles: 90.00 90.00 120.00
Fractional coordinates of all 2 atoms:
Pm 0.0000 0.0000 0.0000
Re 0.6667 0.3333 0.5000

Values from the calculation:
Energy relative to the elements = 1.97 eV/f.u.
VASP energy = -7.6002 eV/atom
Polymorph energy (0 for the lowest one) = 0.0 meV per atom

***

Which formula does entry 1 have?
PmRe

***

Among the records above, which one has the highest energy relative to the elements?
number 1

***

Which value of polymorph energy (0 for the lowest one) does entry 1 give?
1333.2 meV per atom

***

What did the first record say?
A relaxed PmRe crystal, computed with GGA-PBE.

abc: 4.5394 4.5394 4.5394
angles: 60.00 60.00 60.00
Fractional coordinates of all 2 atoms:
Pm 0.0000 0.0000 0.0000
Re 0.7500 0.7500 0.7500

Values from the calculation:
Energy relative to the elements = 4.63 eV/f.u.
VASP energy = -6.2670 eV/atom
Polymorph energy (0 for the lowest one) = 1333.2 meV per atom